# 1
The following is a DFT calculation (PBE) of an optimized crystal structure of KScSe2.

Results
The value obtained for the total magnetization is 0.00 μB per cell. The value obtained for the total energy is -40.5 eV for the cell shown.

```
KScSe2
1.0
8.205 0.000 0.000
0.000 8.205 0.000
4.103 4.103 3.527
Se Sc K
4 2 2
direct
0.165 0.665 0.000
0.665 0.835 0.000
0.335 0.165 0.000
0.835 0.335 0.000
0.250 0.750 0.500
0.750 0.250 0.500
0.250 0.250 0.500
0.750 0.750 0.500
```

***

# 2
The following is a DFT calculation (PBE) of an optimized crystal structure of KScSe2.

Results
The value obtained for the total magnetization is 0.00 μB per cell. The value obtained for the total energy is -19.6 eV for the cell shown.

```
KScSe2
1.0
0.760 8.163 3.146
4.711 6.277 3.939
3.798 7.917 -0.095
Sc K Se
1 1 2
direct
0.507 0.507 0.507
0.004 0.004 0.004
0.138 0.138 0.138
0.602 0.602 0.602
```

***

# 3
The following is a DFT calculation (PBE) of an optimized crystal structure of KScSe2.

Results
The value obtained for the total magnetization is 0.00 μB per cell. The value obtained for the total energy is -18.1 eV for the cell shown.

```
KScSe2
1.0
5.181 0.001 -0.001
-0.019 5.181 -0.001
0.408 0.410 3.544
K Se Sc
1 2 1
direct
0.500 0.000 0.500
0.000 0.000 0.000
0.500 0.500 0.000
0.000 0.500 0.500
```

***

Number 1: ΔE_f (raw) -5.88 eV per formula unit. Number 2: ΔE_f (raw) -5.19 eV per formula unit. Number 3: ΔE_f (raw) -3.72 eV per formula unit.